Entry 1:
DFT (GGA-PBE) results for ZnAs2Se after structural relaxation.

Output
Energy above the lowest structure with this stoichiometry ... 0.210 eV per atom
V ... 81.6 Å³/f.u.
ρ ... 6.0 Mg/m³

a = 2.814 Å, b = 5.378 Å, c = 5.561 Å
α = 90.00°, β = 103.99°, γ = 90.00°
Space group Pm (No. 6)
Asymmetric unit:
Zn (0.000, 0.000, 0.000) (multiplicity 1)
As (0.264, 0.500, 0.546) (multiplicity 1)
As (0.280, 0.000, 0.564) (multiplicity 1)
Se (0.035, 0.500, 0.074) (multiplicity 1)

Entry 2:
DFT (GGA-PBE) results for Y2ZrGa2Rh5 after structural relaxation.

Output
V ... 176.6 Å³/f.u.
ρ ... 8.7 Mg/m³
Formation enthalpy at 0 K ... -0.85 eV/atom

a = 9.957 Å, b = 9.957 Å, c = 3.562 Å
α = 90.00°, β = 90.00°, γ = 90.00°
Space group P4/mbm (No. 127)
Asymmetric unit:
Y (0.173, 0.327, 0.000) (multiplicity 4)
Zr (0.000, 0.000, 0.000) (multiplicity 2)
Ga (0.124, 0.624, 0.000) (multiplicity 4)
Rh (0.000, 0.500, 0.500) (multiplicity 2)
Rh (0.068, 0.793, 0.500) (multiplicity 8)

Entry 3:
DFT (GGA-PBE) results for NdNpC after structural relaxation.

Output
Energy above the lowest structure with this stoichiometry ... 0.302 eV per atom
V ... 61.8 Å³/f.u.
ρ ... 10.6 Mg/m³
Formation enthalpy at 0 K ... 0.49 eV/atom

a = 3.846 Å, b = 13.848 Å, c = 4.640 Å
α = 90.00°, β = 90.00°, γ = 90.00°
Space group Cmcm (No. 63)
Asymmetric unit:
Nd (0.000, 0.172, 0.250) (multiplicity 4)
Np (0.000, 0.500, 0.000) (multiplicity 4)
C (0.000, 0.356, 0.250) (multiplicity 4)

Entry 4:
DFT (GGA-PBE) results for ThAl3Ru after structural relaxation.

Output
V ... 98.0 Å³/f.u.
ρ ... 7.0 Mg/m³
Formation enthalpy at 0 K ... -0.55 eV/atom

a = 8.462 Å, b = 4.174 Å, c = 11.102 Å
α = 90.00°, β = 90.00°, γ = 90.00°
Space group Pnma (No. 62)
Asymmetric unit:
Th (0.194, 0.250, 0.011) (multiplicity 4)
Al (0.048, 0.250, 0.587) (multiplicity 4)
Al (0.099, 0.750, 0.778) (multiplicity 4)
Al (0.156, 0.750, 0.223) (multiplicity 4)
Ru (0.128, 0.250, 0.361) (multiplicity 4)

Entry 5:
DFT (GGA-PBE) results for SrSm2BeO5 after structural relaxation.

Output
V ... 113.2 Å³/f.u.
ρ ... 7.0 Mg/m³

a = 9.564 Å, b = 6.557 Å, c = 7.223 Å
α = 90.00°, β = 90.00°, γ = 90.00°
Space group Pna2_1 (No. 33)
Asymmetric unit:
Sr (0.175, 0.082, 0.000) (multiplicity 4)
Sm (0.022, 0.595, 0.766) (multiplicity 4)
Sm (0.174, 0.070, 0.546) (multiplicity 4)
Be (0.101, 0.807, 0.268) (multiplicity 4)
O (0.010, 0.021, 0.269) (multiplicity 4)
O (0.068, 0.695, 0.462) (multiplicity 4)
O (0.071, 0.683, 0.076) (multiplicity 4)
O (0.221, 0.339, 0.262) (multiplicity 4)
O (0.225, 0.366, 0.769) (multiplicity 4)

Entry 6:
DFT (GGA-PBE) results for La6AlCd3 after structural relaxation.

Output
V ... 308.3 Å³/f.u.
ρ ... 6.5 Mg/m³
Formation enthalpy at 0 K ... -0.26 eV/atom

a = 9.733 Å, b = 5.462 Å, c = 12.110 Å
α = 90.00°, β = 106.69°, γ = 90.00°
Space group P2_1/m (No. 11)
Asymmetric unit:
La (0.028, 0.250, 0.416) (multiplicity 2)
La (0.160, 0.750, 0.173) (multiplicity 2)
La (0.259, 0.250, 0.002) (multiplicity 2)
La (0.351, 0.750, 0.825) (multiplicity 2)
La (0.381, 0.250, 0.348) (multiplicity 2)
La (0.404, 0.250, 0.623) (multiplicity 2)
Al (0.456, 0.750, 0.106) (multiplicity 2)
Cd (0.031, 0.750, 0.873) (multiplicity 2)
Cd (0.115, 0.250, 0.720) (multiplicity 2)
Cd (0.266, 0.750, 0.469) (multiplicity 2)

Entry 7:
DFT (GGA-PBE) results for Ca3Ag5Hg2 after structural relaxation.

Output
V ... 248.0 Å³/f.u.
ρ ... 7.1 Mg/m³
Formation enthalpy at 0 K ... -0.26 eV/atom

a = 7.448 Å, b = 4.345 Å, c = 7.852 Å
α = 90.00°, β = 102.58°, γ = 90.00°
Space group P2/m (No. 10)
Asymmetric unit:
Ca (0.000, 0.000, 0.000) (multiplicity 1)
Ca (0.334, 0.500, 0.649) (multiplicity 2)
Ag (0.000, 0.000, 0.500) (multiplicity 1)
Ag (0.065, 0.500, 0.288) (multiplicity 2)
Ag (0.340, 0.000, 0.350) (multiplicity 2)
Hg (0.314, 0.500, 0.043) (multiplicity 2)

Entry 8:
DFT (GGA-PBE) results for HoNiAs after structural relaxation.

Output
V ... 54.7 Å³/f.u.
ρ ... 9.1 Mg/m³
Formation enthalpy at 0 K ... -1.05 eV/atom

a = 4.0440 Å, b = 4.0440 Å, c = 3.8620 Å
α = 90.00°, β = 90.00°, γ = 120.00°
Space group P-6m2 (No. 187)
Asymmetric unit:
Ho (0.0000, 0.0000, 0.0000) (multiplicity 1)
Ni (0.6667, 0.3333, 0.5000) (multiplicity 1)
As (0.3333, 0.6667, 0.5000) (multiplicity 1)

Entry 9:
DFT (GGA-PBE) results for SrMn2 after structural relaxation.

Output
V ... 71.4 Å³/f.u.
ρ ... 4.6 Mg/m³
Formation enthalpy at 0 K ... 0.97 eV/atom

a = 3.3565 Å, b = 3.3565 Å, c = 7.3186 Å
α = 90.00°, β = 90.00°, γ = 120.00°
Space group P-3m1 (No. 164)
Asymmetric unit:
Sr (0.0000, 0.0000, 0.0000) (multiplicity 1)
Mn (0.3333, 0.6667, 0.6325) (multiplicity 2)

Entry 10:
DFT (GGA-PBE) results for AcSmAg after structural relaxation.

Output
Energy above the lowest structure with this stoichiometry ... 0.009 eV per atom
V ... 98.7 Å³/f.u.
ρ ... 8.2 Mg/m³
Formation enthalpy at 0 K ... -0.13 eV/atom

a = 4.970 Å, b = 4.970 Å, c = 7.993 Å
α = 90.00°, β = 90.00°, γ = 90.00°
Space group P4/nmm (No. 129, origin choice 2)
Asymmetric unit:
Ac (0.250, 0.250, 0.128) (multiplicity 2)
Sm (0.250, 0.750, 0.500) (multiplicity 2)
Ag (0.250, 0.250, 0.737) (multiplicity 2)

Entry 11:
DFT (GGA-PBE) results for Ca3SiBi after structural relaxation.

Output
Energy above the lowest structure with this stoichiometry ... 0.000 eV per atom
V ... 152.7 Å³/f.u.
ρ ... 3.9 Mg/m³

a = 17.232 Å, b = 4.015 Å, c = 8.877 Å
α = 90.00°, β = 95.97°, γ = 90.00°
Space group C2/m (No. 12)
Asymmetric unit:
Ca (0.050, 0.000, 0.197) (multiplicity 4)
Ca (0.105, 0.500, 0.566) (multiplicity 4)
Ca (0.248, 0.000, 0.800) (multiplicity 4)
Si (0.212, 0.000, 0.446) (multiplicity 4)
Bi (0.110, 0.500, 0.927) (multiplicity 4)

Entry 12:
DFT (GGA-PBE) results for AlIn2Si after structural relaxation.

Output
V ... 88.3 Å³/f.u.
ρ ... 5.4 Mg/m³

a = 3.3247 Å, b = 3.3247 Å, c = 27.6610 Å
α = 90.00°, β = 90.00°, γ = 120.00°
Space group R-3m (No. 166, hexagonal axes)
Asymmetric unit:
Al (0.0000, 0.0000, 0.0000) (multiplicity 3)
In (0.0000, 0.0000, 0.2466) (multiplicity 6)
Si (0.0000, 0.0000, 0.5000) (multiplicity 3)

Entry 13:
DFT (GGA-PBE) results for Sm4AlSb after structural relaxation.

Output
V ... 191.5 Å³/f.u.
ρ ... 6.5 Mg/m³

a = 5.699 Å, b = 21.089 Å, c = 6.373 Å
α = 90.00°, β = 90.00°, γ = 90.00°
Space group Cmcm (No. 63)
Asymmetric unit:
Sm (0.000, 0.062, 0.250) (multiplicity 4)
Sm (0.000, 0.208, 0.501) (multiplicity 8)
Sm (0.000, 0.382, 0.250) (multiplicity 4)
Al (0.000, 0.078, 0.750) (multiplicity 4)
Sb (0.000, 0.348, 0.750) (multiplicity 4)

Entry 14:
DFT (GGA-PBE) results for LaTbY3 after structural relaxation.

Output
Energy above the lowest structure with this stoichiometry ... 0.129 eV per atom
V ... 173.6 Å³/f.u.
ρ ... 5.4 Mg/m³
Formation enthalpy at 0 K ... 0.19 eV/atom

a = 11.854 Å, b = 10.497 Å, c = 5.579 Å
α = 90.00°, β = 90.00°, γ = 90.00°
Space group Pnma (No. 62)
Asymmetric unit:
La (0.053, 0.250, 0.001) (multiplicity 4)
Tb (0.000, 0.000, 0.500) (multiplicity 4)
Y (0.168, 0.750, 0.499) (multiplicity 4)
Y (0.192, 0.564, 0.999) (multiplicity 8)

Entry 15:
DFT (GGA-PBE) results for TbPrGa2Rh2 after structural relaxation.

Output
V ... 124.9 Å³/f.u.
ρ ... 8.6 Mg/m³
Formation enthalpy at 0 K ... -0.79 eV/atom

a = 4.3996 Å, b = 4.3996 Å, c = 7.4502 Å
α = 90.00°, β = 90.00°, γ = 120.00°
Space group P-3m1 (No. 164)
Asymmetric unit:
Tb (0.0000, 0.0000, 0.0000) (multiplicity 1)
Pr (0.0000, 0.0000, 0.5000) (multiplicity 1)
Ga (0.3333, 0.6667, 0.7667) (multiplicity 2)
Rh (0.3333, 0.6667, 0.2181) (multiplicity 2)

Entry 16:
DFT (GGA-PBE) results for TaMoRuRh2 after structural relaxation.

Output
V ... 97.8 Å³/f.u.
ρ ... 9.9 Mg/m³
Formation enthalpy at 0 K ... 1.50 eV/atom

a = 4.635 Å, b = 4.635 Å, c = 4.550 Å
α = 90.00°, β = 90.00°, γ = 90.00°
Space group P4/mmm (No. 123)
Asymmetric unit:
Ta (0.000, 0.000, 0.000) (multiplicity 1)
Mo (0.500, 0.500, 0.000) (multiplicity 1)
Ru (0.500, 0.500, 0.500) (multiplicity 1)
Rh (0.000, 0.500, 0.500) (multiplicity 2)

Entry 17:
DFT (GGA-PBE) results for CeTh4P5 after structural relaxation.

Output
V ... 249.8 Å³/f.u.
ρ ... 8.1 Mg/m³
Formation enthalpy at 0 K ... -1.55 eV/atom

a = 9.241 Å, b = 9.241 Å, c = 5.851 Å
α = 90.00°, β = 90.00°, γ = 90.00°
Space group I4/m (No. 87)
Asymmetric unit:
Ce (0.000, 0.000, 0.000) (multiplicity 2)
Th (0.099, 0.700, 0.500) (multiplicity 8)
P (0.000, 0.000, 0.500) (multiplicity 2)
P (0.099, 0.702, 0.000) (multiplicity 8)

Entry 18:
DFT (GGA-PBE) results for LiNd2BiO6 after structural relaxation.

Output
V ... 143.9 Å³/f.u.
ρ ... 6.9 Mg/m³

a = 5.8237 Å, b = 5.8237 Å, c = 14.6974 Å
α = 90.00°, β = 90.00°, γ = 120.00°
Space group R3 (No. 146, hexagonal axes)
Asymmetric unit:
Li (0.0000, 0.0000, 0.0000) (multiplicity 3)
Nd (0.0000, 0.0000, 0.2668) (multiplicity 3)
Nd (0.0000, 0.0000, 0.7670) (multiplicity 3)
Bi (0.0000, 0.0000, 0.4882) (multiplicity 3)
O (0.0659, 0.3454, 0.5590) (multiplicity 9)
O (0.0695, 0.7058, 0.0603) (multiplicity 9)

Entry 19:
DFT (GGA-PBE) results for SrSc2RePb after structural relaxation.

Output
V ... 154.3 Å³/f.u.
ρ ... 6.1 Mg/m³
Formation enthalpy at 0 K ... 1.00 eV/atom

a = 5.462 Å, b = 5.462 Å, c = 5.171 Å
α = 90.00°, β = 90.00°, γ = 90.00°
Space group P4/mmm (No. 123)
Asymmetric unit:
Sr (0.000, 0.000, 0.000) (multiplicity 1)
Sc (0.000, 0.500, 0.500) (multiplicity 2)
Re (0.500, 0.500, 0.000) (multiplicity 1)
Pb (0.500, 0.500, 0.500) (multiplicity 1)

Entry 20:
DFT (GGA-PBE) results for Nb4IrRh5 after structural relaxation.

Output
Energy above the lowest structure with this stoichiometry ... 0.198 eV per atom
V ... 168.2 Å³/f.u.
ρ ... 10.6 Mg/m³
Formation enthalpy at 0 K ... -0.27 eV/atom

a = 8.383 Å, b = 8.835 Å, c = 4.540 Å
α = 90.00°, β = 90.00°, γ = 90.00°
Space group Pmmn (No. 59, origin choice 2)
Asymmetric unit:
Nb (0.043, 0.250, 0.093) (multiplicity 4)
Nb (0.250, 0.561, 0.238) (multiplicity 4)
Ir (0.250, 0.750, 0.702) (multiplicity 2)
Rh (0.083, 0.028, 0.744) (multiplicity 8)
Rh (0.250, 0.250, 0.488) (multiplicity 2)

Short version: electronic total energy = -0.2549 -0.5350 -0.6235 -0.4509 -0.5523 -0.2837 -0.1722 -0.4449 -0.4195 -0.2960 -0.2668 -0.2425 -0.3498 -0.4118 -0.4276 -0.5759 -0.5745 -0.4983 -0.3748 -0.6510 Ry/atom, in the order given.